<P>
Material: MnFeSbTe2
Method: DFT, GGA-PBE
State: relaxed

a b c (Å): 5.2086 5.2086 5.0251
angles (deg): 90.00 90.00 90.00
Space group P4/mmm (No. 123)
Symmetry-distinct sites (fractional):
Mn1 0.0000 0.0000 0.0000
Fe1 0.5000 0.5000 0.5000
Sb1 0.0000 0.0000 0.5000
Te1 0.0000 0.5000 0.0000

=====

<Q>
Material: MnFeSbTe2
Method: DFT, GGA-PBE
State: relaxed

a b c (Å): 4.9668 4.9668 4.7466
angles (deg): 90.00 90.00 90.00
Space group P4/mmm (No. 123)
Symmetry-distinct sites (fractional):
Mn1 0.0000 0.0000 0.0000
Fe1 0.5000 0.5000 0.5000
Sb1 0.5000 0.5000 0.0000
Te1 0.0000 0.5000 0.5000

=====

Pick <Q>: it beats the second-best structure by 0.145 eV/atom.

=====

<P>
Material: MnFeSb2Te
Method: DFT, GGA-PBE
State: relaxed

a b c (Å): 4.9161 4.9161 5.0921
angles (deg): 90.00 90.00 90.00
Space group P4/mmm (No. 123)
Symmetry-distinct sites (fractional):
Mn1 0.0000 0.0000 0.0000
Fe1 0.5000 0.5000 0.5000
Sb1 0.0000 0.5000 0.0000
Te1 0.0000 0.0000 0.5000

=====

<Q>
Material: MnFeSb2Te
Method: DFT, GGA-PBE
State: relaxed

a b c (Å): 4.8724 4.8724 5.1647
angles (deg): 90.00 90.00 90.00
Space group P4/mmm (No. 123)
Symmetry-distinct sites (fractional):
Mn1 0.0000 0.0000 0.0000
Fe1 0.5000 0.5000 0.5000
Sb1 0.0000 0.5000 0.5000
Te1 0.5000 0.5000 0.0000

=====

Pick <P>: it beats the second-best structure by 0.224 eV/atom.